A relaxed LaSnHPd2 crystal. Source: Alexandria, functional PBE-GGA.

Space-group type: Cmcm, No. 63
D(E_F): 4.8 states/eV per cell
Uncorrected energy: -0.1933 hartree per atom
Total moment: 0.000 μB per atom

Cell lengths 4.3187, 6.1656, 7.4412 Å; angles 90.00, 90.00, 110.50 degrees
Element x y z (fractional)
La: 0.4314 0.8628 0.7500
La: 0.5686 0.1372 0.2500
Sn: 0.7142 0.4284 0.7500
Sn: 0.2858 0.5716 0.2500
H: 0.0000 0.0000 0.0000
H: 0.0000 0.0000 0.5000
Pd: 0.1509 0.3019 0.9500
Pd: 0.8491 0.6981 0.0500
Pd: 0.1509 0.3019 0.5500
Pd: 0.8491 0.6981 0.4500

***

A relaxed SrLa2HPd crystal. Source: Alexandria, functional PBE-GGA.

Space-group type: P4/mmm, No. 123
D(E_F): 3.3 states/eV per cell
Uncorrected energy: -0.1050 hartree per atom
Total moment: 0.000 μB per atom

Cell lengths 6.0929, 5.0292, 6.0929 Å; angles 90.00, 90.00, 90.00 degrees
Element x y z (fractional)
Sr: 0.0000 0.0000 0.0000
H: 0.5000 0.5000 0.5000
Pd: 0.0000 0.5000 0.0000
La: 0.0000 0.0000 0.5000
La: 0.5000 0.0000 0.0000

***

A relaxed La2TeHPd crystal. Source: Alexandria, functional PBE-GGA.

Space-group type: P4/mmm, No. 123
D(E_F): 4.6 states/eV per cell
Uncorrected energy: -0.1910 hartree per atom
Total moment: 0.106 μB per atom

Cell lengths 5.3502, 5.3502, 3.9209 Å; angles 90.00, 90.00, 90.00 degrees
Element x y z (fractional)
H: 0.0000 0.0000 0.0000
Te: 0.5000 0.5000 0.5000
Pd: 0.0000 0.0000 0.5000
La: 0.0000 0.5000 0.0000
La: 0.5000 0.0000 0.0000

***

A relaxed La2TlHPd6 crystal. Source: Alexandria, functional PBE-GGA.

Space-group type: R-3m, No. 166
D(E_F): 5.7 states/eV per cell
Uncorrected energy: -0.1932 hartree per atom
Total moment: 0.000 μB per atom

Cell lengths 7.4232, 5.8125, 7.4199 Å; angles 66.97, 46.11, 90.02 degrees
Element x y z (fractional)
La: 0.7418 0.2582 0.4832
La: 0.2582 0.7418 0.5168
Tl: 0.0000 0.0000 0.0000
H: 0.5000 0.5000 0.0000
Pd: 0.2276 0.2775 0.4456
Pd: 0.7225 0.7724 0.9507
Pd: 0.2774 0.7227 0.0488
Pd: 0.7226 0.2773 0.9512
Pd: 0.2775 0.2276 0.0493
Pd: 0.7724 0.7225 0.5544

***

A relaxed LaV2HPd crystal. Source: Alexandria, functional PBE-GGA.

Space-group type: P4/mmm, No. 123
D(E_F): 4.5 states/eV per cell
Uncorrected energy: -0.2245 hartree per atom
Total moment: 0.583 μB per atom

Cell lengths 4.0036, 4.9864, 4.0036 Å; angles 90.00, 90.00, 90.00 degrees
Element x y z (fractional)
H: 0.0000 0.0000 0.0000
V: 0.0000 0.0000 0.5000
V: 0.5000 0.0000 0.0000
Pd: 0.0000 0.5000 0.0000
La: 0.5000 0.5000 0.5000

***

A relaxed La2ZnHPd crystal. Source: Alexandria, functional PBE-GGA.

Space-group type: P4/mmm, No. 123
D(E_F): 4.3 states/eV per cell
Energy above the most stable polymorph in this dataset: 45 meV/atom
Total moment: 0.020 μB per atom

Cell lengths 5.0998, 5.0998, 3.9792 Å; angles 90.00, 90.00, 90.00 degrees
Element x y z (fractional)
H: 0.0000 0.0000 0.0000
Zn: 0.0000 0.0000 0.5000
Pd: 0.5000 0.5000 0.5000
La: 0.0000 0.5000 0.0000
La: 0.5000 0.0000 0.0000

***

A relaxed LaZnHPd2 crystal. Source: Alexandria, functional PBE-GGA.

Space-group type: Cmcm, No. 63
D(E_F): 4.1 states/eV per cell
Uncorrected energy: -0.1706 hartree per atom
Total moment: 0.000 μB per atom

Cell lengths 4.0252, 5.8925, 7.4794 Å; angles 90.00, 90.00, 109.97 degrees
Element x y z (fractional)
La: 0.4422 0.8843 0.7500
La: 0.5578 0.1157 0.2500
Zn: 0.7228 0.4457 0.7500
Zn: 0.2772 0.5543 0.2500
H: 0.0000 0.0000 0.0000
H: 0.0000 0.0000 0.5000
Pd: 0.1565 0.3131 0.9466
Pd: 0.8435 0.6869 0.0534
Pd: 0.1565 0.3131 0.5534
Pd: 0.8435 0.6869 0.4466

***

A relaxed La2ZnHPd6 crystal. Source: Alexandria, functional PBE-GGA.

Space-group type: P-1, No. 2
D(E_F): 3.8 states/eV per cell
Uncorrected energy: -0.1926 hartree per atom
Total moment: 0.000 μB per atom

Cell lengths 5.8006, 6.9618, 6.9556 Å; angles 49.33, 65.64, 90.20 degrees
Element x y z (fractional)
La: 0.7320 0.2673 0.5384
La: 0.2680 0.7327 0.4616
Zn: 0.0000 0.0000 0.0000
H: 0.5000 0.5000 0.0000
Pd: 0.2724 0.2292 0.4579
Pd: 0.7690 0.7266 0.9613
Pd: 0.2714 0.7278 0.9615
Pd: 0.7286 0.2722 0.0385
Pd: 0.2310 0.2734 0.0387
Pd: 0.7276 0.7708 0.5421

***

A relaxed La2ZnHPd crystal. Source: Alexandria, functional PBE-GGA.

Space-group type: P4/mmm, No. 123
D(E_F): 3.0 states/eV per cell
Energy above the most stable polymorph in this dataset: 0 meV/atom
Total moment: 0.000 μB per atom

Cell lengths 5.2885, 5.2885, 3.7896 Å; angles 90.00, 90.00, 90.00 degrees
Element x y z (fractional)
H: 0.0000 0.0000 0.0000
Zn: 0.5000 0.5000 0.5000
Pd: 0.0000 0.0000 0.5000
La: 0.0000 0.5000 0.0000
La: 0.5000 0.0000 0.0000

***

A relaxed LaZr2HPd crystal. Source: Alexandria, functional PBE-GGA.

Space-group type: P4/mmm, No. 123
D(E_F): 6.9 states/eV per cell
Uncorrected energy: -0.2322 hartree per atom
Total moment: 0.000 μB per atom

Cell lengths 4.3037, 5.2548, 4.3037 Å; angles 90.00, 90.00, 90.00 degrees
Element x y z (fractional)
H: 0.0000 0.0000 0.0000
Zr: 0.0000 0.0000 0.5000
Zr: 0.5000 0.0000 0.0000
Pd: 0.5000 0.5000 0.5000
La: 0.0000 0.5000 0.0000

***

A relaxed LaPm3H8 crystal. Source: Alexandria, functional PBE-GGA.

Space-group type: Pm-3m, No. 221
D(E_F): 2.6 states/eV per cell
Uncorrected energy: -0.1654 hartree per atom
Total moment: 0.000 μB per atom

Cell lengths 5.4642, 5.4642, 5.4642 Å; angles 90.00, 90.00, 90.00 degrees
Element x y z (fractional)
La: 0.0000 0.0000 0.0000
Pm: 0.5000 0.5000 0.0000
Pm: 0.5000 0.0000 0.5000
Pm: 0.0000 0.5000 0.5000
H: 0.2557 0.2557 0.7443
H: 0.2557 0.7443 0.2557
H: 0.7443 0.2557 0.2557
H: 0.7443 0.7443 0.7443
H: 0.7443 0.7443 0.2557
H: 0.7443 0.2557 0.7443
H: 0.2557 0.7443 0.7443
H: 0.2557 0.2557 0.2557